CsNa2Si2 | GGA-PBE | relaxed Values from VASP.

```
&SYSTEM
  ibrav = 0, nat = 10, ntyp = 3
/
ATOMIC_SPECIES
Cs 132.91 Cs.upf
Na 22.99 Na.upf
Si 28.09 Si.upf
CELL_PARAMETERS angstrom
8.873 0.000 0.000
0.000 8.873 0.000
0.000 0.000 3.527
ATOMIC_POSITIONS angstrom
Cs 0.000 0.000 0.000
Cs 4.436 4.436 0.000
Na 1.579 2.857 0.000
Na 2.857 7.294 0.000
Na 6.016 1.579 0.000
Na 7.294 6.016 0.000
Si 0.849 5.285 1.764
Si 3.588 0.849 1.764
Si 5.285 8.024 1.764
Si 8.024 3.588 1.764
```

Summary:
Its energy relative to the lowest polymorph listed for this composition is 0.194 eV per atom. The value obtained for the size of the total moment is 0.000 μB per formula unit. The calculation puts the uncorrected formation energy at 0.2846 eV/atom. The space group is P4/mbm. The value obtained for the volume is 277.7 Å³/cell. The density of states at the Fermi level is 2.48 states/eV/f.u. For the theoretical density, the calculation gives 2.8 g/cm³.